This record from Alexandria describes an optimized crystal structure of Na2UFe2O6. The functional is GGA+U.

Results
Uncorrected energy   -0.254 Ha/atom
V   13.36 Å³/atom

```
Na2UFe2O6
1.0
-1.435 -5.189 -0.441
3.440 1.201 3.988
-5.159 2.551 1.998
Na U Fe O
2 1 2 6
Direct
0.821 0.179 0.000
0.179 0.821 0.000
0.000 0.000 0.500
0.335 0.665 0.500
0.665 0.335 0.500
0.745 0.745 0.685
0.044 0.386 0.707
0.255 0.255 0.315
0.386 0.044 0.707
0.956 0.614 0.293
0.614 0.956 0.293
```